The following is a PBE calculation of a relaxed structure of Ac2LaAs3Rh4, from the Alexandria database.

Structure (CIF):
```
data_Ac2LaAs3Rh4
_chemical_formula_sum 'Ac2 La1 As3 Rh4'
_cell_length_a 4.335
_cell_length_b 4.335
_cell_length_c 11.413
_cell_angle_alpha 90.00
_cell_angle_beta 90.00
_cell_angle_gamma 90.00
_symmetry_space_group_name_H-M 'P -4 m 2'
_symmetry_Int_Tables_number 115
_symmetry_space_group_name_Hall 'P -4 -2'
loop_
_atom_site_label
_atom_site_type_symbol
_atom_site_fract_x
_atom_site_fract_y
_atom_site_fract_z
Ac1 Ac 0.000 0.500 0.225
La1 La 0.000 0.000 0.500
As1 As 0.000 0.500 0.878
As2 As 0.500 0.500 0.500
Rh1 Rh 0.000 0.000 0.000
Rh2 Rh 0.000 0.500 0.659
Rh3 Rh 0.500 0.500 0.000
```

- E_form: -0.92 eV per atom